Entry 1:
A plane-wave DFT calculation with PBE was carried out for a relaxed LiZrSc crystal.

Cell: 15.9849 8.5964 8.5964 Å, 158.89 158.29 21.71°
Last column: nearest neighbours and their distance in Å.
Positions (direct):
Sc1 0.6634 0.6655 0.3345  5 Zr 3.09-3.19, 4 Sc 3.12-3.15, 3 Li 3.29-3.30
Zr1 0.1584 0.6678 0.3322  4 Zr 3.04-3.15, 5 Sc 3.09-3.19, 3 Li 3.33
Li1 0.5000 0.0000 0.0000  6 Li 3.15-3.18, 2 Sc 3.30, 4 Zr 3.33
Li2 0.0000 0.0000 0.0000  6 Li 3.15-3.18, 4 Sc 3.29, 2 Zr 3.33
Zr2 0.8416 0.3322 0.6678  4 Zr 3.04-3.15, 5 Sc 3.09-3.19, 3 Li 3.33
Sc2 0.3366 0.3345 0.6655  5 Zr 3.09-3.19, 4 Sc 3.12-3.15, 3 Li 3.29-3.30

Calculated values
**Relative energy among the computed polymorphs**: 69.7 meV/atom
**Space-group type**: C2/m, No. 12
**N(E_F)**: 4.19 states/eV/f.u.
**Energy of formation**: 120 meV per atom

=====

Entry 2:
A plane-wave DFT calculation with PBE was carried out for a relaxed LiZrSc crystal.

Cell: 3.1448 3.1448 8.0802 Å, 90.00 90.00 120.00°
Last column: nearest neighbours and their distance in Å.
Positions (direct):
Zr1 0.3333 0.6667 0.6568  3 Sc 3.11, 6 Zr 3.14, 3 Li 3.30
Li1 0.0000 0.0000 0.9983  6 Li 3.14, 3 Zr 3.30, 3 Sc 3.34
Sc1 0.6667 0.3333 0.3450  3 Zr 3.11, 6 Sc 3.14, 3 Li 3.34

Calculated values
**Relative energy among the computed polymorphs**: 78.5 meV/atom
**Space-group type**: P3m1, No. 156
**N(E_F)**: 3.48 states/eV/f.u.
**Energy of formation**: 129 meV per atom

=====

Entry 3:
A plane-wave DFT calculation with PBE was carried out for a relaxed Li2ZrSc crystal.

Cell: 5.5842 5.5842 5.5842 Å, 136.63 136.63 63.01°
Last column: nearest neighbours and their distance in Å.
Positions (direct):
Li1 0.0000 0.0000 0.0000  4 Sc 2.92, 4 Zr 3.15, 4 Li 3.15
Li2 0.2500 0.7500 0.5000  4 Zr 2.92, 4 Sc 3.15, 4 Li 3.15
Sc1 0.5000 0.5000 0.0000  8 Li 2.92-3.15, 4 Zr 3.15
Zr1 0.7500 0.2500 0.5000  8 Li 2.92-3.15, 4 Sc 3.15

Calculated values
**Relative energy among the computed polymorphs**: 298.9 meV/atom
**Space-group type**: I-4m2, No. 119
**N(E_F)**: 5.05 states/eV/f.u.
**Energy of formation**: 381 meV per atom

=====

Entry 4:
A plane-wave DFT calculation with PBE was carried out for a relaxed LiZrSc crystal.

Cell: 4.6198 4.6198 4.6198 Å, 60.00 60.00 60.00°
Last column: nearest neighbours and their distance in Å.
Positions (direct):
Zr1 0.5000 0.5000 0.5000  4 Li 2.83
Li1 0.7500 0.7500 0.7500  4 Zr 2.83, 4 Sc 2.83
Sc1 0.0000 0.0000 0.0000  4 Li 2.83

Calculated values
**Relative energy among the computed polymorphs**: 691.0 meV/atom
**Space-group type**: F-43m, No. 216
**N(E_F)**: 5.43 states/eV/f.u.
**Energy of formation**: 741 meV per atom

=====

Entry 5:
A plane-wave DFT calculation with PBE was carried out for a relaxed Li2ZrSc crystal.

Cell: 7.6737 7.6737 6.0881 Å, 50.93 50.93 90.00°
Last column: nearest neighbours and their distance in Å.
Positions (direct):
Li1 0.6205 0.1250 0.2500  2 Li 2.76, 2 Sc 2.78, 2 Zr 2.82
Sc1 0.2500 0.7500 0.5000  2 Zr 2.76, 4 Li 2.78
Li2 0.1295 0.6250 0.2500  2 Li 2.76, 2 Sc 2.78, 2 Zr 2.82
Li3 0.8750 0.8705 0.7500  2 Li 2.76, 2 Sc 2.78, 2 Zr 2.82
Zr1 0.0000 0.0000 0.0000  2 Sc 2.76, 4 Li 2.82
Li4 0.3750 0.3795 0.7500  2 Li 2.76, 2 Sc 2.78, 2 Zr 2.82
Zr2 0.7500 0.2500 0.5000  2 Sc 2.76, 4 Li 2.82
Sc2 0.5000 0.5000 0.0000  2 Zr 2.76, 4 Li 2.78

Calculated values
**Relative energy among the computed polymorphs**: 410.1 meV/atom
**Space-group type**: I-42d, No. 122
**N(E_F)**: 4.59 states/eV/f.u.
**Energy of formation**: 492 meV per atom

=====

Entry 6:
A plane-wave DFT calculation with PBE was carried out for a relaxed LiZrSc crystal.

Cell: 10.7479 8.3093 8.3093 Å, 157.79 149.84 30.16°
Last column: nearest neighbours and their distance in Å.
Positions (direct):
Sc1 0.2988 0.7157 0.2843  5 Li 3.03-3.17, 5 Zr 3.11-3.33, 2 Sc 3.20
Zr1 0.7561 0.5900 0.4100  5 Zr 3.00-3.20, 5 Sc 3.11-3.33, 2 Li 3.23
Zr2 0.2439 0.4100 0.5900  5 Zr 3.00-3.20, 5 Sc 3.11-3.33, 2 Li 3.23
Sc2 0.7012 0.2843 0.7157  5 Li 3.03-3.17, 5 Zr 3.11-3.33, 2 Sc 3.20
Li1 0.2058 0.1041 0.8959  2 Li 2.77, 2 Sc 3.03
Li2 0.7942 0.8959 0.1041  2 Li 2.77, 2 Sc 3.03

Calculated values
**Relative energy among the computed polymorphs**: 28.7 meV/atom
**Space-group type**: C2/m, No. 12
**N(E_F)**: 2.26 states/eV/f.u.
**Energy of formation**: 79 meV per atom